Crystalline ThZn2GaCu4 at its relaxed geometry. Source: the Alexandria database, functional PBE.

Geometry as POSCAR:
```
ThZn2GaCu4
1.0
-3.3083 1.7816 -1.8499
-3.1972 -2.3696 -1.3053
-5.9499 0.7038 6.5774
Cu Ga Zn Th
4 1 2 1
direct
0.1318 0.1318 0.6046 Cu
0.8682 0.8682 0.3954 Cu
0.5964 0.5964 0.2109 Cu
0.4036 0.4036 0.7891 Cu
0.5000 0.5000 0.5000 Ga
0.2422 0.2422 0.2735 Zn
0.7578 0.7578 0.7265 Zn
0.0000 0.0000 0.0000 Th
```

Its total magnetization is 0.000 μB/cell. The calculation puts the raw total energy at -30.47 eV per cell. The calculation puts the formation energy from the elements at -0.1358 eV/atom.

---

Crystalline ThZrGa2Cu2 at its relaxed geometry. Source: the Alexandria database, functional PBE.

Geometry as POSCAR:
```
ThZrGa2Cu2
1.0
-2.1601 -3.1693 1.9432
3.6600 1.4710 1.7109
-3.6859 4.8106 3.7488
Cu Th Zr Ga
2 1 1 2
direct
0.6667 0.3333 0.6972 Cu
0.3333 0.6667 0.3028 Cu
0.0000 0.0000 0.0000 Th
0.0000 0.0000 0.5000 Zr
0.3333 0.6667 0.7164 Ga
0.6667 0.3333 0.2836 Ga
```

Its total magnetization is 0.000 μB/cell. The calculation puts the raw total energy at -32.89 eV per cell. The calculation puts the formation energy from the elements at -0.4460 eV/atom.

---

Crystalline ThZrGaCu at its relaxed geometry. Source: the Alexandria database, functional PBE.

Geometry as POSCAR:
```
ThZrGaCu
1.0
4.9533 0.0000 0.0000
2.4767 4.2897 0.0000
2.4767 1.4299 4.0444
Zr Cu Ga Th
1 1 1 1
direct
0.0000 0.0000 0.0000 Zr
0.7500 0.7500 0.7500 Cu
0.2500 0.2500 0.2500 Ga
0.5000 0.5000 0.5000 Th
```

Its total magnetization is 0.000 μB/cell. The calculation puts the raw total energy at -23.94 eV per cell. The calculation puts the formation energy from the elements at -0.2116 eV/atom.

---

Crystalline Ti2Ga2Cu at its relaxed geometry. Source: the Alexandria database, functional PBE.

Geometry as POSCAR:
```
Ti2Ga2Cu
1.0
4.0408 0.0000 0.0000
0.0000 5.3559 0.0000
-2.0204 0.0000 7.0919
Cu Ti Ga
2 4 4
direct
0.3980 0.0641 0.7961 Cu
0.6020 0.5641 0.2039 Cu
0.9969 0.2881 0.9938 Ti
0.2020 0.8587 0.4040 Ti
0.7980 0.3587 0.5960 Ti
0.0031 0.7881 0.0062 Ti
0.1802 0.3713 0.3605 Ga
0.8198 0.8713 0.6395 Ga
0.5946 0.0522 0.1892 Ga
0.4054 0.5522 0.8108 Ga
```

Its total magnetization is 0.001 μB/cell. The calculation puts the energy above the most stable polymorph in this dataset at 37 meV per atom. The calculation puts the raw total energy at -54.77 eV per cell. The calculation puts the formation energy from the elements at -0.2891 eV/atom.

---

Crystalline TiGa2Cu at its relaxed geometry. Source: the Alexandria database, functional PBE.

Geometry as POSCAR:
```
TiGa2Cu
1.0
3.7933 0.0000 0.0000
0.0000 3.9366 0.0000
0.0000 0.0000 3.9366
Ti Cu Ga
1 1 2
direct
0.5000 0.0000 0.0000 Ti
0.5000 0.5000 0.5000 Cu
0.0000 0.0000 0.5000 Ga
0.0000 0.5000 0.0000 Ga
```

Its total magnetization is 0.000 μB/cell. The calculation puts the raw total energy at -19.53 eV per cell. The calculation puts the formation energy from the elements at -0.3708 eV/atom.

---

Crystalline Ti8GaCu2 at its relaxed geometry. Source: the Alexandria database, functional PBE.

Geometry as POSCAR:
```
Ti8GaCu2
1.0
-4.2587 -0.2252 0.9666
2.7587 -4.6020 4.8025
1.2172 7.0598 0.7280
Ti Ga Cu
8 1 2
direct
0.2919 0.5997 0.5997 Ti
0.1198 0.3140 0.0942 Ti
0.8802 0.9058 0.6860 Ti
0.7081 0.4003 0.4003 Ti
0.5000 0.2181 0.7819 Ti
0.1198 0.0942 0.3140 Ti
0.5000 0.7819 0.2181 Ti
0.8802 0.6860 0.9058 Ti
0.5000 0.0000 0.0000 Ga
0.0000 0.3070 0.6930 Cu
0.0000 0.6930 0.3070 Cu
```

Its total magnetization is 0.000 μB/cell. The calculation puts the raw total energy at -74.22 eV per cell. The calculation puts the formation energy from the elements at 0.0146 eV/atom.

---

Crystalline Ti4GaCu2 at its relaxed geometry. Source: the Alexandria database, functional PBE.

Geometry as POSCAR:
```
Ti4GaCu2
1.0
4.6573 0.0000 0.0000
0.0000 4.6573 0.0000
2.3286 2.3286 6.1446
Ga Cu Ti
1 2 4
direct
0.0000 0.0000 0.0000 Ga
0.3957 0.3957 0.2086 Cu
0.6043 0.6043 0.7914 Cu
0.8001 0.8001 0.3999 Ti
0.5000 0.0000 0.0000 Ti
0.0000 0.5000 0.0000 Ti
0.1999 0.1999 0.6001 Ti
```

Its total magnetization is 0.000 μB/cell. The calculation puts the raw total energy at -38.84 eV per cell. The calculation puts the formation energy from the elements at 0.5654 eV/atom.

---

Crystalline Ti5Ga8Cu at its relaxed geometry. Source: the Alexandria database, functional PBE.

Geometry as POSCAR:
```
Ti5Ga8Cu
1.0
-3.7472 0.1098 5.5467
-3.6326 -2.5585 -5.0078
5.4410 -3.8002 0.8792
Ti Ga Cu
5 8 1
direct
0.5000 0.0000 0.5000 Ti
0.7324 0.5893 0.5406 Ti
0.8569 0.8082 0.2676 Ti
0.4594 0.1918 0.0488 Ti
0.9512 0.4107 0.1431 Ti
0.6512 0.8958 0.8756 Ga
0.8236 0.2124 0.3942 Ga
0.9798 0.1042 0.7554 Ga
0.1244 0.7757 0.0202 Ga
0.6058 0.4294 0.8182 Ga
0.3888 0.5706 0.1764 Ga
0.2446 0.2243 0.3488 Ga
0.1818 0.7876 0.6112 Ga
0.2500 0.5000 0.7500 Cu
```

Its total magnetization is 0.000 μB/cell. The calculation puts the raw total energy at -70.97 eV per cell. The calculation puts the formation energy from the elements at -0.2277 eV/atom.

---

Crystalline Ti2Ga2Cu at its relaxed geometry. Source: the Alexandria database, functional PBE.

Geometry as POSCAR:
```
Ti2Ga2Cu
1.0
-0.2652 1.0527 7.5599
-4.7892 -5.9131 0.6554
2.2476 -1.7841 0.3273
Cu Ga Ti
2 4 4
direct
0.0000 0.0000 0.0000 Cu
0.5000 0.5000 0.0000 Cu
0.3205 0.1795 0.5000 Ga
0.1795 0.6795 0.5000 Ga
0.8205 0.3205 0.5000 Ga
0.6795 0.8205 0.5000 Ga
0.3773 0.8773 0.0000 Ti
0.6227 0.1227 0.0000 Ti
0.1227 0.3773 0.0000 Ti
0.8773 0.6227 0.0000 Ti
```

Its total magnetization is 0.000 μB/cell. The calculation puts the energy above the most stable polymorph in this dataset at 344 meV per atom. The calculation puts the raw total energy at -51.70 eV per cell. The calculation puts the formation energy from the elements at 0.0184 eV/atom.

---

Crystalline Ti2Ga4Cu at its relaxed geometry. Source: the Alexandria database, functional PBE.

Geometry as POSCAR:
```
Ti2Ga4Cu
1.0
4.9275 -0.6736 -2.1454
-2.6507 4.6007 -1.0694
-0.3881 0.6736 5.3602
Cu Ti Ga
1 2 4
direct
0.0000 0.0000 0.0000 Cu
0.5000 0.5000 0.0000 Ti
0.5000 0.0000 0.5000 Ti
0.0000 0.5000 0.0000 Ga
0.5000 0.5000 0.5000 Ga
0.0000 0.0000 0.5000 Ga
0.5000 0.0000 0.0000 Ga
```

Its total magnetization is 0.000 μB/cell. The calculation puts the energy above the most stable polymorph in this dataset at 0 meV per atom. The calculation puts the raw total energy at -33.90 eV per cell. The calculation puts the formation energy from the elements at -0.2721 eV/atom.

---

Crystalline Ti2Ga4Cu at its relaxed geometry. Source: the Alexandria database, functional PBE.

Geometry as POSCAR:
```
Ti2Ga4Cu
1.0
4.6496 0.0000 0.0000
0.0000 4.6496 0.0000
2.3248 2.3248 6.4022
Ti Ga Cu
2 4 1
direct
0.6034 0.6034 0.7933 Ti
0.3966 0.3966 0.2067 Ti
0.1906 0.1906 0.6189 Ga
0.5000 0.0000 0.0000 Ga
0.0000 0.5000 0.0000 Ga
0.8094 0.8094 0.3811 Ga
0.0000 0.0000 0.0000 Cu
```

Its total magnetization is 0.000 μB/cell. The calculation puts the energy above the most stable polymorph in this dataset at 475 meV per atom. The calculation puts the raw total energy at -30.57 eV per cell. The calculation puts the formation energy from the elements at 0.2029 eV/atom.

---

Crystalline Ti2Ga4Cu at its relaxed geometry. Source: the Alexandria database, functional PBE.

Geometry as POSCAR:
```
Ti2Ga4Cu
1.0
-2.8213 -4.4380 0.5963
0.5183 -1.0118 -5.0778
8.2948 -1.6828 1.1820
Ga Ti Cu
8 4 2
direct
0.9330 0.2500 0.1218 Ga
0.3453 0.0026 0.7185 Ga
0.3453 0.4974 0.7185 Ga
0.6547 0.9974 0.2815 Ga
0.0670 0.7500 0.8782 Ga
0.8837 0.2500 0.5659 Ga
0.1163 0.7500 0.4341 Ga
0.6547 0.5026 0.2815 Ga
0.3382 0.2500 0.4257 Ti
0.6478 0.7500 0.9889 Ti
0.6618 0.7500 0.5743 Ti
0.3522 0.2500 0.0111 Ti
0.7751 0.2500 0.8216 Cu
0.2249 0.7500 0.1784 Cu
```

Its total magnetization is 0.000 μB/cell. The calculation puts the energy above the most stable polymorph in this dataset at 42 meV per atom. The calculation puts the raw total energy at -67.20 eV per cell. The calculation puts the formation energy from the elements at -0.2298 eV/atom.